*i*
Computed, not measured: crystalline FeTePN2 at its relaxed geometry at the GGA-PBE level of DFT.

Computed properties:
Total magnetization ... 0.000 μB per formula unit

Cell and atoms, written as POSCAR:
```
FeTePN2
1.0
-3.577 0.453 -0.398
-0.974 -3.951 4.255
0.060 2.651 2.475
N P Te Fe
2 1 1 1
Direct
0.500 0.000 0.000
0.000 0.000 0.500
0.500 0.500 0.500
0.000 0.500 0.000
0.000 0.000 0.000
```

---

*ii*
Computed, not measured: crystalline FeTePN2 at its relaxed geometry at the GGA-PBE level of DFT.

Computed properties:
Total magnetization ... 3.614 μB per formula unit

Cell and atoms, written as POSCAR:
```
FeTePN2
1.0
3.481 0.000 0.000
0.000 3.481 0.000
0.000 0.000 6.849
Fe P N Te
1 1 2 1
Direct
0.500 0.500 0.500
0.000 0.000 0.000
0.500 0.000 0.000
0.000 0.500 0.000
0.000 0.000 0.500
```

---

What should be chosen as the least stable of them? Choose *ii*.

---

*i*
Computed, not measured: crystalline PaFeN2 at its relaxed geometry at the GGA-PBE level of DFT.

Computed properties:
Total magnetization ... 2.952 μB per formula unit

Cell and atoms, written as POSCAR:
```
PaFeN2
1.0
6.053 0.000 0.000
0.000 5.713 -2.936
0.000 0.169 6.458
Fe Pa N
4 4 8
Direct
0.345 0.769 0.085
0.845 0.731 0.415
0.155 0.269 0.585
0.655 0.231 0.915
0.856 0.736 0.958
0.356 0.764 0.542
0.144 0.264 0.042
0.644 0.236 0.458
0.185 0.864 0.885
0.900 0.323 0.773
0.685 0.636 0.615
0.600 0.823 0.273
0.815 0.136 0.115
0.100 0.677 0.227
0.315 0.364 0.385
0.400 0.177 0.727
```

---

*ii*
Computed, not measured: crystalline PaFeN2 at its relaxed geometry at the GGA-PBE level of DFT.

Computed properties:
Total magnetization ... 3.000 μB per formula unit

Cell and atoms, written as POSCAR:
```
PaFeN2
1.0
-2.263 -2.486 -1.454
1.358 -2.834 -1.883
-0.035 -4.744 3.552
N Fe Pa
2 1 1
Direct
0.889 0.889 0.333
0.111 0.111 0.667
0.000 0.000 0.000
0.500 0.500 0.500
```

---

What should be chosen as the least stable of them? Choose *ii*.

---

*i*
Computed, not measured: crystalline Fe2PbN at its relaxed geometry at the GGA-PBE level of DFT.

Computed properties:
Total magnetization ... 0.001 μB per formula unit

Cell and atoms, written as POSCAR:
```
Fe2PbN
1.0
1.523 0.263 3.915
-2.556 -0.568 3.295
0.348 -3.467 2.360
Pb N Fe
1 1 2
Direct
0.500 0.500 0.500
0.000 0.000 0.000
0.250 0.250 0.250
0.750 0.750 0.750
```

---

*ii*
Computed, not measured: crystalline Fe2PbN at its relaxed geometry at the GGA-PBE level of DFT.

Computed properties:
Total magnetization ... 1.075 μB per formula unit

Cell and atoms, written as POSCAR:
```
Fe2PbN
1.0
-3.774 -2.759 2.457
3.124 -0.507 4.228
-1.956 2.065 4.991
Fe Pb N
4 2 2
Direct
0.375 0.524 0.750
0.476 0.125 0.250
0.875 0.726 0.750
0.274 0.625 0.250
0.750 0.250 0.500
0.000 0.000 0.000
0.500 0.500 0.000
0.250 0.750 0.500
```

---

What should be chosen as the least stable of them? Choose *i*.

---

*i*
Computed, not measured: crystalline FeTePbN2 at its relaxed geometry at the GGA-PBE level of DFT.

Computed properties:
Total magnetization ... 6.266 μB per formula unit

Cell and atoms, written as POSCAR:
```
FeTePbN2
1.0
4.295 0.000 0.000
0.000 4.295 0.000
0.000 0.000 6.375
Te N Pb Fe
1 2 1 1
Direct
0.000 0.000 0.500
0.500 0.000 0.000
0.000 0.500 0.000
0.000 0.000 0.000
0.500 0.500 0.500
```

---

*ii*
Computed, not measured: crystalline FeTePbN2 at its relaxed geometry at the GGA-PBE level of DFT.

Computed properties:
Total magnetization ... 4.255 μB per formula unit

Cell and atoms, written as POSCAR:
```
FeTePbN2
1.0
4.101 0.000 0.000
0.000 4.101 0.000
0.000 0.000 5.235
N Te Pb Fe
2 1 1 1
Direct
0.000 0.500 0.000
0.500 0.000 0.000
0.000 0.000 0.500
0.500 0.500 0.500
0.000 0.000 0.000
```

---

What should be chosen as the least stable of them? Choose *i*.

---

*i*
Computed, not measured: crystalline Fe2PdPtN at its relaxed geometry at the GGA-PBE level of DFT.

Computed properties:
Total magnetization ... 6.072 μB per formula unit

Cell and atoms, written as POSCAR:
```
Fe2PdPtN
1.0
-2.243 0.253 3.172
-2.809 -1.980 -1.828
1.600 -3.577 1.416
Fe N Pd Pt
2 1 1 1
Direct
0.000 0.500 0.000
0.500 0.000 0.000
0.000 0.000 0.000
0.500 0.500 0.500
0.000 0.000 0.500
```

---

*ii*
Computed, not measured: crystalline Fe2PdPtN at its relaxed geometry at the GGA-PBE level of DFT.

Computed properties:
Total magnetization ... 6.148 μB per formula unit

Cell and atoms, written as POSCAR:
```
Fe2PdPtN
1.0
-2.258 1.682 -2.673
1.613 -2.212 -2.754
-2.907 -2.902 0.628
Pt Pd N Fe
1 1 1 2
Direct
0.500 0.500 0.500
0.000 0.000 0.500
0.000 0.000 0.000
0.500 0.000 0.000
0.000 0.500 0.000
```

---

What should be chosen as the least stable of them? Choose *i*.

---

*i*
Computed, not measured: crystalline FeTe2PdN at its relaxed geometry at the GGA-PBE level of DFT.

Computed properties:
Total magnetization ... 0.027 μB per formula unit

Cell and atoms, written as POSCAR:
```
FeTe2PdN
1.0
-0.094 -4.690 2.722
-0.150 -2.719 -4.690
3.641 -0.105 -0.056
Te N Pd Fe
2 1 1 1
Direct
0.500 0.000 0.000
0.000 0.500 0.000
0.000 0.000 0.500
0.000 0.000 0.000
0.500 0.500 0.500
```

---

*ii*
Computed, not measured: crystalline FeTe2PdN at its relaxed geometry at the GGA-PBE level of DFT.

Computed properties:
Total magnetization ... 0.000 μB per formula unit

Cell and atoms, written as POSCAR:
```
FeTe2PdN
1.0
-3.895 -3.455 0.278
2.614 -2.653 3.649
-1.464 1.843 2.388
Fe Te Pd N
1 2 1 1
Direct
0.000 0.000 0.000
0.000 0.500 0.000
0.500 0.000 0.000
0.500 0.500 0.500
0.000 0.000 0.500
```

---

What should be chosen as the least stable of them? Choose *i*.

---

*i*
Computed, not measured: crystalline FeTePdN2 at its relaxed geometry at the GGA-PBE level of DFT.

Computed properties:
Total magnetization ... 0.000 μB per formula unit

Cell and atoms, written as POSCAR:
```
FeTePdN2
1.0
-2.207 -1.983 -2.581
0.205 -3.197 2.281
-4.961 1.749 2.898
Te Fe Pd N
1 1 1 2
Direct
0.000 0.000 0.500
0.500 0.500 0.500
0.000 0.000 0.000
0.500 0.000 0.000
0.000 0.500 0.000
```

---

*ii*
Computed, not measured: crystalline FeTePdN2 at its relaxed geometry at the GGA-PBE level of DFT.

Computed properties:
Total magnetization ... 0.000 μB per formula unit

Cell and atoms, written as POSCAR:
```
FeTePdN2
1.0
3.646 0.000 0.000
0.000 3.646 0.000
0.000 0.000 5.715
Te N Fe Pd
1 2 1 1
Direct
0.000 0.000 0.500
0.000 0.500 0.000
0.500 0.000 0.000
0.000 0.000 0.000
0.500 0.500 0.500
```

---

What should be chosen as the least stable of them? Choose *i*.

---

*i*
Computed, not measured: crystalline PmFeN2 at its relaxed geometry at the GGA-PBE level of DFT.

Computed properties:
Total magnetization ... 1.030 μB per formula unit

Cell and atoms, written as POSCAR:
```
PmFeN2
1.0
5.446 0.000 0.000
-2.723 4.716 0.000
0.000 0.000 6.277
N Fe Pm
6 3 3
Direct
0.573 0.692 0.709
0.119 0.427 0.376
0.692 0.573 0.291
0.427 0.119 0.624
0.308 0.881 0.043
0.881 0.308 0.957
0.411 0.411 0.500
0.589 0.000 0.833
0.000 0.589 0.167
0.350 0.350 0.000
0.000 0.650 0.667
0.650 0.000 0.333
```

---

*ii*
Computed, not measured: crystalline PmFeN2 at its relaxed geometry at the GGA-PBE level of DFT.

Computed properties:
Total magnetization ... 2.612 μB per formula unit

Cell and atoms, written as POSCAR:
```
PmFeN2
1.0
-0.542 2.684 2.567
-3.481 1.148 0.809
-1.705 -2.715 5.224
N Pm Fe
2 1 1
Direct
0.101 0.101 0.697
0.899 0.899 0.303
0.500 0.500 0.500
0.000 0.000 0.000
```

---

What should be chosen as the least stable of them? Choose *ii*.

---

*i*
Computed, not measured: crystalline PrFeN at its relaxed geometry at the GGA-PBE level of DFT.

Computed properties:
Total magnetization ... 1.523 μB per formula unit

Cell and atoms, written as POSCAR:
```
PrFeN
1.0
4.322 0.000 0.000
0.000 3.440 0.000
0.000 -1.720 2.979
Pr N Fe
1 1 1
Direct
0.667 0.667 0.333
0.167 0.000 0.000
0.167 0.333 0.667
```

---

*ii*
Computed, not measured: crystalline PrFeN at its relaxed geometry at the GGA-PBE level of DFT.

Computed properties:
Total magnetization ... 0.000 μB per formula unit

Cell and atoms, written as POSCAR:
```
PrFeN
1.0
-1.364 -2.887 1.582
2.768 -2.977 -3.046
4.827 1.397 2.700
Pr Fe N
2 2 2
Direct
0.864 0.246 0.728
0.136 0.754 0.272
0.410 0.732 0.820
0.590 0.268 0.180
0.896 0.743 0.792
0.104 0.257 0.208
```

---

What should be chosen as the least stable of them? Choose *i*.

---

*i*
Computed, not measured: crystalline FePtN2 at its relaxed geometry at the GGA-PBE level of DFT.

Computed properties:
Total magnetization ... 3.523 μB per formula unit

Cell and atoms, written as POSCAR:
```
FePtN2
1.0
-1.756 -2.542 5.222
1.360 -2.962 5.118
0.175 -0.204 6.062
Pt N Fe
1 2 1
Direct
0.500 0.500 0.500
0.107 0.107 0.107
0.893 0.893 0.893
0.000 0.000 0.000
```

---

*ii*
Computed, not measured: crystalline FePtN2 at its relaxed geometry at the GGA-PBE level of DFT.

Computed properties:
Total magnetization ... 1.574 μB per formula unit

Cell and atoms, written as POSCAR:
```
FePtN2
1.0
2.601 1.930 5.502
3.649 -0.618 5.202
4.823 1.526 3.895
Pt Fe N
1 1 2
Direct
0.000 0.000 0.000
0.500 0.500 0.500
0.107 0.107 0.107
0.893 0.893 0.893
```

---

What should be chosen as the least stable of them? Choose *i*.

---

*i*
Computed, not measured: crystalline FePtN2 at its relaxed geometry at the GGA-PBE level of DFT.

Computed properties:
Total magnetization ... 0.000 μB per formula unit

Cell and atoms, written as POSCAR:
```
FePtN2
1.0
4.611 0.000 0.000
0.000 4.611 0.000
2.306 2.306 4.268
Pt N Fe
2 4 2
Direct
0.750 0.250 0.500
0.000 0.000 0.000
0.177 0.625 0.250
0.875 0.823 0.750
0.375 0.427 0.750
0.573 0.125 0.250
0.250 0.750 0.500
0.500 0.500 0.000
```

---

*ii*
Computed, not measured: crystalline FePtN2 at its relaxed geometry at the GGA-PBE level of DFT.

Computed properties:
Total magnetization ... 0.000 μB per formula unit

Cell and atoms, written as POSCAR:
```
FePtN2
1.0
0.000 2.671 2.671
2.671 0.000 2.671
2.671 2.671 0.000
Fe N Pt
1 2 1
Direct
0.000 0.000 0.000
0.750 0.750 0.750
0.250 0.250 0.250
0.500 0.500 0.500
```

---

What should be chosen as the least stable of them? Choose *ii*.

---

*i*
Computed, not measured: crystalline FePt3N at its relaxed geometry at the GGA-PBE level of DFT.

Computed properties:
Total magnetization ... 3.499 μB per formula unit

Cell and atoms, written as POSCAR:
```
FePt3N
1.0
4.562 0.000 0.000
0.000 4.562 0.000
0.000 0.000 4.562
Fe N Pt
1 1 3
Direct
0.000 0.000 0.000
0.500 0.500 0.500
0.500 0.000 0.000
0.000 0.000 0.500
0.000 0.500 0.000
```

---

*ii*
Computed, not measured: crystalline FePt3N at its relaxed geometry at the GGA-PBE level of DFT.

Computed properties:
Total magnetization ... 3.717 μB per formula unit

Cell and atoms, written as POSCAR:
```
FePt3N
1.0
-2.672 2.119 2.392
-3.114 -1.027 -2.569
-0.717 -3.436 2.243
Fe Pt N
1 3 1
Direct
0.500 0.500 0.500
0.500 0.000 0.000
0.000 0.000 0.500
0.000 0.500 0.000
0.000 0.000 0.000
```

---

What should be chosen as the least stable of them? Choose *i*.